Version i
# TlMo2F

TlMo2F after structural relaxation (GGA+U, Alexandria).

As for the total moment: 0.000 μB per formula unit. Its crystal system is cubic.

Unit cell a=4.579 b=4.579 c=4.579 alpha=60.00 beta=60.00 gamma=60.00
Sites, in units of the cell vectors:
Tl 0.500 0.500 0.500
F 0.000 0.000 0.000
Mo 0.250 0.250 0.250
Mo 0.750 0.750 0.750

***

Version ii
# TlMo2F

TlMo2F after structural relaxation (GGA+U, Alexandria).

As for the total moment: 8.344 μB per formula unit. Its crystal system is tetragonal.

Unit cell a=5.809 b=5.809 c=7.717 alpha=67.89 beta=67.89 gamma=90.00
Sites, in units of the cell vectors:
F 0.500 0.500 0.000
Mo 0.497 0.125 0.250
Tl 0.000 0.000 0.000
Mo 0.875 0.747 0.750
Tl 0.750 0.250 0.500
Mo 0.375 0.503 0.750
Mo 0.253 0.625 0.250
F 0.250 0.750 0.500

***

Which of them is the most stable, and which is the least stable? version ii and version i, in that order.

***

Version i
# TlMoF3

TlMoF3 after structural relaxation (GGA+U, Alexandria).

As for the total moment: 3.956 μB per formula unit. Its crystal system is cubic.

Unit cell a=4.488 b=4.488 c=4.488 alpha=90.00 beta=90.00 gamma=90.00
Sites, in units of the cell vectors:
F 0.000 0.000 0.500
Tl 0.500 0.500 0.500
F 0.000 0.500 0.000
F 0.500 0.000 0.000
Mo 0.000 0.000 0.000

***

Version ii
# TlMoF3

TlMoF3 after structural relaxation (GGA+U, Alexandria).

As for the total moment: 4.964 μB per formula unit. Its crystal system is cubic.

Unit cell a=4.646 b=4.646 c=4.646 alpha=90.00 beta=90.00 gamma=90.00
Sites, in units of the cell vectors:
Mo 0.500 0.500 0.500
Tl 0.000 0.000 0.000
F 0.000 0.000 0.500
F 0.000 0.500 0.000
F 0.500 0.000 0.000

***

Which of them is the most stable, and which is the least stable? version i and version ii, in that order.

***

Version i
# VMo3F

VMo3F after structural relaxation (GGA+U, Alexandria).

As for the total moment: 3.976 μB per formula unit. Its crystal system is cubic.

Unit cell a=4.284 b=4.284 c=4.284 alpha=90.00 beta=90.00 gamma=90.00
Sites, in units of the cell vectors:
Mo 0.000 0.000 0.500
V 0.500 0.500 0.500
Mo 0.000 0.500 0.000
F 0.000 0.000 0.000
Mo 0.500 0.000 0.000

***

Version ii
# VMo3F

VMo3F after structural relaxation (GGA+U, Alexandria).

As for the total moment: 8.988 μB per formula unit. Its crystal system is cubic.

Unit cell a=5.008 b=5.008 c=5.008 alpha=90.00 beta=90.00 gamma=90.00
Sites, in units of the cell vectors:
Mo 0.000 0.000 0.500
F 0.500 0.500 0.500
V 0.000 0.000 0.000
Mo 0.000 0.500 0.000
Mo 0.500 0.000 0.000

***

Which of them is the most stable, and which is the least stable? version i and version ii, in that order.

***

Version i
# V3MoF

V3MoF after structural relaxation (GGA+U, Alexandria).

As for the total moment: 5.386 μB per formula unit. Its crystal system is cubic.

Unit cell a=4.423 b=4.423 c=4.423 alpha=90.00 beta=90.00 gamma=90.00
Sites, in units of the cell vectors:
Mo 0.500 0.500 0.500
V 0.000 0.500 0.000
V 0.000 0.000 0.500
F 0.000 0.000 0.000
V 0.500 0.000 0.000

***

Version ii
# V3MoF

V3MoF after structural relaxation (GGA+U, Alexandria).

As for the total moment: 7.267 μB per formula unit. Its crystal system is cubic.

Unit cell a=4.998 b=4.998 c=4.998 alpha=90.00 beta=90.00 gamma=90.00
Sites, in units of the cell vectors:
Mo 0.000 0.000 0.000
F 0.500 0.500 0.500
V 0.000 0.000 0.500
V 0.500 0.000 0.000
V 0.000 0.500 0.000

***

Which of them is the most stable, and which is the least stable? version i and version ii, in that order.

***

Version i
# MoW2F

MoW2F after structural relaxation (GGA+U, Alexandria).

As for the total moment: 0.000 μB per formula unit. Its crystal system is cubic.

Unit cell a=4.481 b=4.481 c=4.481 alpha=60.00 beta=60.00 gamma=60.00
Sites, in units of the cell vectors:
F 0.000 0.000 0.000
W 0.250 0.250 0.250
Mo 0.500 0.500 0.500
W 0.750 0.750 0.750

***

Version ii
# MoW2F

MoW2F after structural relaxation (GGA+U, Alexandria).

As for the total moment: 0.000 μB per formula unit. Its crystal system is tetragonal.

Unit cell a=6.645 b=6.645 c=5.497 alpha=52.81 beta=52.81 gamma=90.00
Sites, in units of the cell vectors:
W 0.578 0.125 0.250
F 0.500 0.500 0.000
F 0.250 0.750 0.500
W 0.875 0.828 0.750
W 0.172 0.625 0.250
Mo 0.000 0.000 0.000
Mo 0.750 0.250 0.500
W 0.375 0.422 0.750

***

Which of them is the most stable, and which is the least stable? version ii and version i, in that order.

***

Version i
# Mo3WF

Mo3WF after structural relaxation (GGA+U, Alexandria).

As for the total moment: 9.960 μB per formula unit. Its crystal system is cubic.

Unit cell a=5.289 b=5.289 c=5.289 alpha=90.00 beta=90.00 gamma=90.00
Sites, in units of the cell vectors:
Mo 0.500 0.000 0.000
Mo 0.000 0.500 0.000
F 0.500 0.500 0.500
Mo 0.000 0.000 0.500
W 0.000 0.000 0.000

***

Version ii
# Mo3WF

Mo3WF after structural relaxation (GGA+U, Alexandria).

As for the total moment: 8.682 μB per formula unit. Its crystal system is cubic.

Unit cell a=4.707 b=4.707 c=4.707 alpha=90.00 beta=90.00 gamma=90.00
Sites, in units of the cell vectors:
F 0.000 0.000 0.000
Mo 0.000 0.000 0.500
W 0.500 0.500 0.500
Mo 0.000 0.500 0.000
Mo 0.500 0.000 0.000

***

Which of them is the most stable, and which is the least stable? version ii and version i, in that order.

***

Version i
# Mo2WF2

Mo2WF2 after structural relaxation (GGA+U, Alexandria).

As for the total moment: 4.154 μB per formula unit. Its crystal system is tetragonal.

Unit cell a=7.709 b=7.709 c=3.003 alpha=90.00 beta=90.00 gamma=90.00
Sites, in units of the cell vectors:
Mo 0.651 0.151 0.000
Mo 0.151 0.349 0.000
F 0.892 0.392 0.500
F 0.608 0.892 0.500
W 0.000 0.000 0.000
Mo 0.349 0.849 0.000
F 0.392 0.108 0.500
Mo 0.849 0.651 0.000
W 0.500 0.500 0.000
F 0.108 0.608 0.500

***

Version ii
# Mo2WF2

Mo2WF2 after structural relaxation (GGA+U, Alexandria).

As for the total moment: 0.000 μB per formula unit. Its crystal system is tetragonal.

Unit cell a=3.313 b=3.313 c=6.651 alpha=75.58 beta=75.58 gamma=90.00
Sites, in units of the cell vectors:
W 0.000 0.000 0.000
Mo 0.381 0.381 0.238
F 0.750 0.250 0.500
Mo 0.619 0.619 0.762
F 0.250 0.750 0.500

***

Which of them is the most stable, and which is the least stable? version ii and version i, in that order.

***

Version i
# Zn2MoF

Zn2MoF after structural relaxation (GGA+U, Alexandria).

As for the total moment: 4.421 μB per formula unit. Its crystal system is tetragonal.

Unit cell a=6.997 b=6.997 c=5.664 alpha=51.86 beta=51.86 gamma=90.00
Sites, in units of the cell vectors:
Mo 0.000 0.000 0.000
Mo 0.750 0.250 0.500
F 0.250 0.750 0.500
F 0.500 0.500 0.000
Zn 0.875 0.824 0.750
Zn 0.375 0.426 0.750
Zn 0.574 0.125 0.250
Zn 0.176 0.625 0.250

***

Version ii
# Zn2MoF

Zn2MoF after structural relaxation (GGA+U, Alexandria).

As for the total moment: 4.527 μB per formula unit. Its crystal system is cubic.

Unit cell a=4.644 b=4.644 c=4.644 alpha=60.00 beta=60.00 gamma=60.00
Sites, in units of the cell vectors:
F 0.000 0.000 0.000
Zn 0.750 0.750 0.750
Mo 0.500 0.500 0.500
Zn 0.250 0.250 0.250

***

Which of them is the most stable, and which is the least stable? version i and version ii, in that order.

***

Version i
# ZrMoF3

ZrMoF3 after structural relaxation (GGA+U, Alexandria).

As for the total moment: 6.682 μB per formula unit. Its crystal system is cubic.

Unit cell a=4.442 b=4.442 c=4.442 alpha=90.00 beta=90.00 gamma=90.00
Sites, in units of the cell vectors:
F 0.000 0.500 0.000
Zr 0.500 0.500 0.500
Mo 0.000 0.000 0.000
F 0.500 0.000 0.000
F 0.000 0.000 0.500

***

Version ii
# ZrMoF3

ZrMoF3 after structural relaxation (GGA+U, Alexandria).

As for the total moment: 6.802 μB per formula unit. Its crystal system is cubic.

Unit cell a=4.419 b=4.419 c=4.419 alpha=90.00 beta=90.00 gamma=90.00
Sites, in units of the cell vectors:
F 0.500 0.000 0.000
Mo 0.500 0.500 0.500
Zr 0.000 0.000 0.000
F 0.000 0.500 0.000
F 0.000 0.000 0.500

***

Which of them is the most stable, and which is the least stable? version ii and version i, in that order.

***

Version i
# ZrMo2F

ZrMo2F after structural relaxation (GGA+U, Alexandria).

As for the total moment: 2.876 μB per formula unit. Its crystal system is tetragonal.

Unit cell a=7.716 b=7.716 c=5.939 alpha=49.49 beta=49.49 gamma=90.00
Sites, in units of the cell vectors:
Mo 0.375 0.452 0.750
Mo 0.875 0.798 0.750
F 0.250 0.750 0.500
Mo 0.548 0.125 0.250
F 0.500 0.500 0.000
Mo 0.202 0.625 0.250
Zr 0.000 0.000 0.000
Zr 0.750 0.250 0.500

***

Version ii
# ZrMo2F

ZrMo2F after structural relaxation (GGA+U, Alexandria).

As for the total moment: 6.123 μB per formula unit. Its crystal system is cubic.

Unit cell a=4.777 b=4.777 c=4.777 alpha=60.00 beta=60.00 gamma=60.00
Sites, in units of the cell vectors:
Zr 0.500 0.500 0.500
F 0.000 0.000 0.000
Mo 0.750 0.750 0.750
Mo 0.250 0.250 0.250

***

Which of them is the most stable, and which is the least stable? version i and version ii, in that order.